# CrCuO2F GGA+U optimized geometry
# ρ in g/cm3: 5.0
# Size of the total moment in μB per atom: 0.7386
# Volume in Å³ per cell: 55
# Total DFT energy (no corrections) in eV per atom: -5.37
# Density of states at the Fermi level in states/eV/f.u.: 3.2
data_CrCuO2F
_chemical_formula_sum 'Cr1 Cu1 O2 F1'
_symmetry_space_group_name_H-M 'P 4/m m m'
_symmetry_Int_Tables_number 123
_symmetry_space_group_name_Hall '-P 4 2'
_cell_length_a 3.815
_cell_length_b 3.815
_cell_length_c 3.785
_cell_angle_alpha 90.00
_cell_angle_beta 90.00
_cell_angle_gamma 90.00
loop_
_atom_site_label
_atom_site_fract_x
_atom_site_fract_y
_atom_site_fract_z
Cr1 0.000 0.000 0.000
Cu1 0.500 0.500 0.500
O1 0.000 0.500 0.500
F1 0.500 0.500 0.000